{
  "formula": "ZnMoAu3",
  "functional": "PBEsol",
  "state": "optimized geometry",
  "lattice": [[-2.602, 3.985, -1.390], [-1.337, -2.328, -4.169], [-4.003, -1.813, 2.296]],
  "species": ["Zn", "Au", "Au", "Au", "Mo"],
  "fractional_positions": [[0.500, 0.500, 0.500], [0.000, 0.500, 0.000], [0.000, 0.000, 0.500], [0.500, 0.000, 0.000], [0.000, 0.000, 0.000]],
  "energy_ry_per_atom": -0.2711,
  "magnetic_moment_mub_per_cell": 0.00,
  "volume_a3_per_atom": 24.38,
  "formation_enthalpy_0k_kcal_per_mol_atoms": 30.80
}


{
  "formula": "Zn2MoAu",
  "functional": "PBEsol",
  "state": "optimized geometry",
  "lattice": [[4.006, 0.000, 0.000], [0.000, 3.691, 0.000], [0.000, 0.000, 4.004]],
  "species": ["Zn", "Zn", "Au", "Mo"],
  "fractional_positions": [[0.000, 0.000, 0.000], [0.500, 0.000, 0.500], [0.500, 0.500, 0.000], [0.000, 0.500, 0.500]],
  "energy_ry_per_atom": -0.3429,
  "magnetic_moment_mub_per_cell": 0.00,
  "volume_a3_per_atom": 14.80,
  "formation_enthalpy_0k_kcal_per_mol_atoms": 1.11
}


{
  "formula": "Zn2MoAu",
  "functional": "PBEsol",
  "state": "optimized geometry",
  "lattice": [[2.732, 0.000, 0.000], [0.000, 4.608, 0.000], [-1.366, -2.304, 4.714]],
  "species": ["Zn", "Zn", "Mo", "Au"],
  "fractional_positions": [[0.745, 0.245, 0.490], [0.010, 0.010, 0.020], [0.257, 0.757, 0.513], [0.489, 0.489, 0.977]],
  "energy_ry_per_atom": -0.3353,
  "magnetic_moment_mub_per_cell": 0.00,
  "volume_a3_per_atom": 14.84,
  "formation_enthalpy_0k_kcal_per_mol_atoms": 3.51
}